The following is a PBE calculation of crystalline Ac12Ni5Hg at its relaxed geometry, from the Alexandria database.

Cell lengths 9.1802, 9.1802, 9.1802 Å; angles 111.91, 108.96, 107.58 degrees
Fractional coordinates of all 18 atoms:
Ac: 0.0151 0.2011 0.8140
Ac: 0.1783 0.3057 0.4841
Ac: 0.1783 0.6943 0.8726
Ac: 0.3256 0.0144 0.6889
Ac: 0.3256 0.6367 0.3111
Ac: 0.3871 0.2011 0.1860
Ac: 0.6129 0.7989 0.8140
Ac: 0.6744 0.3633 0.6889
Ac: 0.6744 0.9856 0.3111
Ac: 0.8217 0.3057 0.1274
Ac: 0.8217 0.6943 0.5159
Ac: 0.9849 0.7989 0.1860
Ni: 0.0000 0.0000 0.0000
Ni: 0.1212 0.6212 0.5000
Ni: 0.3714 0.0000 0.3714
Ni: 0.6286 0.0000 0.6286
Ni: 0.8788 0.3788 0.5000
Hg: 0.5000 0.5000 0.0000

Output
Calculated formation energy ... -0.193 eV/atom
Space group ... No. 71


The following is a PBE calculation of crystalline Ac2NiHg at its relaxed geometry, from the Alexandria database.

Cell lengths 3.7956, 3.7956, 8.0770 Å; angles 90.00, 90.00, 90.00 degrees
Fractional coordinates of all 4 atoms:
Ac: 0.0000 0.0000 0.2207
Ac: 0.0000 0.0000 0.7793
Ni: 0.5000 0.5000 0.0000
Hg: 0.5000 0.5000 0.5000

Output
Calculated formation energy ... -0.294 eV/atom
Distance to the lowest polymorph of the same formula ... 2.8 kJ per mole of atoms
Space group ... No. 123


The following is a PBE calculation of crystalline Ac6NiHg2 at its relaxed geometry, from the Alexandria database.

Cell lengths 7.4372, 8.0501, 13.0821 Å; angles 90.00, 120.11, 90.00 degrees
Fractional coordinates of all 18 atoms:
Ac: 0.1217 0.0230 0.2507
Ac: 0.1217 0.4770 0.7507
Ac: 0.2272 0.6835 0.0553
Ac: 0.2272 0.8165 0.5553
Ac: 0.3612 0.1977 0.0525
Ac: 0.3612 0.3023 0.5525
Ac: 0.6388 0.6977 0.4475
Ac: 0.6388 0.8023 0.9475
Ac: 0.7728 0.1835 0.4447
Ac: 0.7728 0.3165 0.9447
Ac: 0.8783 0.5230 0.2493
Ac: 0.8783 0.9770 0.7493
Ni: 0.0000 0.0000 0.0000
Ni: 0.0000 0.5000 0.5000
Hg: 0.3256 0.0978 0.7689
Hg: 0.3256 0.4022 0.2689
Hg: 0.6744 0.5978 0.7311
Hg: 0.6744 0.9022 0.2311

Output
Calculated formation energy ... -0.235 eV/atom
Space group ... No. 14


The following is a PBE calculation of crystalline Ac8Ni2Hg at its relaxed geometry, from the Alexandria database.

Cell lengths 8.5691, 8.5691, 6.3608 Å; angles 97.91, 97.91, 116.31 degrees
Fractional coordinates of all 11 atoms:
Ac: 0.0000 0.0000 0.0000
Ac: 0.0308 0.2940 0.5986
Ac: 0.1426 0.6081 0.1904
Ac: 0.2940 0.0308 0.5986
Ac: 0.4652 0.7273 0.7731
Ac: 0.6081 0.1426 0.1904
Ac: 0.7273 0.4652 0.7731
Ac: 0.7642 0.7642 0.3843
Ni: 0.0906 0.6705 0.6929
Ni: 0.6705 0.0906 0.6929
Hg: 0.3779 0.3779 0.3033

Output
Calculated formation energy ... -0.060 eV/atom
Space group ... No. 8


The following is a PBE calculation of crystalline Ac11Ni4Hg9 at its relaxed geometry, from the Alexandria database.

Cell lengths 13.9069, 13.9069, 3.9948 Å; angles 90.00, 90.00, 112.71 degrees
Fractional coordinates of all 24 atoms:
Ac: 0.0000 0.0000 0.0000
Ac: 0.0826 0.4171 0.0000
Ac: 0.1683 0.8317 0.0000
Ac: 0.3091 0.3091 0.0000
Ac: 0.3747 0.6253 0.0000
Ac: 0.4171 0.0826 0.0000
Ac: 0.5829 0.9174 0.0000
Ac: 0.6253 0.3747 0.0000
Ac: 0.6909 0.6909 0.0000
Ac: 0.8317 0.1683 0.0000
Ac: 0.9174 0.5829 0.0000
Ni: 0.2519 0.4499 0.5000
Ni: 0.4499 0.2519 0.5000
Ni: 0.5501 0.7481 0.5000
Ni: 0.7481 0.5501 0.5000
Hg: 0.0724 0.2170 0.5000
Hg: 0.1589 0.6302 0.5000
Hg: 0.2170 0.0724 0.5000
Hg: 0.3698 0.8411 0.5000
Hg: 0.5000 0.5000 0.5000
Hg: 0.6302 0.1589 0.5000
Hg: 0.7830 0.9276 0.5000
Hg: 0.8411 0.3698 0.5000
Hg: 0.9276 0.7830 0.5000

Output
Calculated formation energy ... -0.417 eV/atom
Space group ... No. 65


The following is a PBE calculation of crystalline Ac9Ni3Hg at its relaxed geometry, from the Alexandria database.

Cell lengths 7.2461, 11.2532, 12.1861 Å; angles 90.00, 96.55, 90.00 degrees
Fractional coordinates of all 26 atoms:
Ac: 0.0698 0.2500 0.1914
Ac: 0.1520 0.5748 0.3768
Ac: 0.1520 0.9252 0.3768
Ac: 0.2110 0.2500 0.8487
Ac: 0.2582 0.5586 0.0483
Ac: 0.2582 0.9414 0.0483
Ac: 0.3402 0.2500 0.5186
Ac: 0.3544 0.5702 0.7007
Ac: 0.3544 0.9298 0.7007
Ac: 0.6456 0.0702 0.2993
Ac: 0.6456 0.4298 0.2993
Ac: 0.6598 0.7500 0.4814
Ac: 0.7418 0.0586 0.9517
Ac: 0.7418 0.4414 0.9517
Ac: 0.7890 0.7500 0.1513
Ac: 0.8480 0.0748 0.6232
Ac: 0.8480 0.4252 0.6232
Ac: 0.9302 0.7500 0.8086
Ni: 0.0592 0.0042 0.8321
Ni: 0.0592 0.4958 0.8321
Ni: 0.5000 0.0000 0.5000
Ni: 0.5000 0.5000 0.5000
Ni: 0.9408 0.5042 0.1679
Ni: 0.9408 0.9958 0.1679
Hg: 0.4834 0.2500 0.0900
Hg: 0.5166 0.7500 0.9100

Output
Calculated formation energy ... -0.117 eV/atom
Space group ... No. 11


The following is a PBE calculation of crystalline Ac2NiHg at its relaxed geometry, from the Alexandria database.

Cell lengths 4.3860, 4.3860, 7.9201 Å; angles 90.00, 90.00, 120.00 degrees
Fractional coordinates of all 4 atoms:
Ac: 0.3333 0.6667 0.3010
Ac: 0.6667 0.3333 0.6990
Ni: 0.0000 0.0000 0.5000
Hg: 0.0000 0.0000 0.0000

Output
Calculated formation energy ... -0.323 eV/atom
Distance to the lowest polymorph of the same formula ... 0.0 kJ per mole of atoms
Space group ... No. 164


The following is a PBE calculation of crystalline AcNi2Hg at its relaxed geometry, from the Alexandria database.

Cell lengths 4.1537, 4.1531, 9.8638 Å; angles 90.00, 90.04, 90.00 degrees
Fractional coordinates of all 8 atoms:
Ac: 0.2495 0.2500 0.2743
Ac: 0.7505 0.7500 0.7257
Ni: 0.2502 0.2500 0.6376
Ni: 0.2502 0.7500 0.5000
Ni: 0.7498 0.2500 0.5000
Ni: 0.7498 0.7500 0.3624
Hg: 0.2509 0.2500 0.9172
Hg: 0.7491 0.7500 0.0828

Output
Calculated formation energy ... -0.287 eV/atom
Space group ... No. 11


The following is a PBE calculation of crystalline Ac2NiHg at its relaxed geometry, from the Alexandria database.

Cell lengths 3.8055, 3.8055, 31.8803 Å; angles 90.00, 90.00, 120.00 degrees
Fractional coordinates of all 12 atoms:
Ac: 0.0000 0.0000 0.0834
Ac: 0.0000 0.0000 0.9166
Ac: 0.3333 0.6667 0.5833
Ac: 0.3333 0.6667 0.7500
Ac: 0.6667 0.3333 0.2500
Ac: 0.6667 0.3333 0.4167
Ni: 0.0000 0.0000 0.0000
Ni: 0.3333 0.6667 0.6667
Ni: 0.6667 0.3333 0.3333
Hg: 0.0000 0.0000 0.5000
Hg: 0.3333 0.6667 0.1667
Hg: 0.6667 0.3333 0.8333

Output
Calculated formation energy ... 0.362 eV/atom
Distance to the lowest polymorph of the same formula ... 66.1 kJ per mole of atoms
Space group ... No. 166


The following is a PBE calculation of crystalline Ac3NiHg at its relaxed geometry, from the Alexandria database.

Cell lengths 8.9612, 8.9612, 9.1625 Å; angles 91.96, 91.96, 26.89 degrees
Fractional coordinates of all 10 atoms:
Ac: 0.0482 0.0482 0.2940
Ac: 0.2485 0.2485 0.7067
Ac: 0.3907 0.3907 0.0484
Ac: 0.6093 0.6093 0.9516
Ac: 0.7515 0.7515 0.2933
Ac: 0.9518 0.9518 0.7060
Ni: 0.2168 0.2168 0.0573
Ni: 0.7832 0.7832 0.9427
Hg: 0.3992 0.3992 0.4294
Hg: 0.6008 0.6008 0.5706

Output
Calculated formation energy ... -0.290 eV/atom
Distance to the lowest polymorph of the same formula ... 0.0 kJ per mole of atoms
Space group ... No. 12


The following is a PBE calculation of crystalline Ac4NiHg3 at its relaxed geometry, from the Alexandria database.

Cell lengths 3.9379, 3.9379, 16.1386 Å; angles 90.00, 90.00, 90.00 degrees
Fractional coordinates of all 8 atoms:
Ac: 0.0000 0.0000 0.1085
Ac: 0.0000 0.0000 0.3699
Ac: 0.0000 0.0000 0.6301
Ac: 0.0000 0.0000 0.8915
Ni: 0.5000 0.5000 0.0000
Hg: 0.5000 0.5000 0.2426
Hg: 0.5000 0.5000 0.5000
Hg: 0.5000 0.5000 0.7574

Output
Calculated formation energy ... -0.380 eV/atom
Space group ... No. 123


The following is a PBE calculation of crystalline Ac6NiHg5 at its relaxed geometry, from the Alexandria database.

Cell lengths 9.7370, 9.7370, 5.6569 Å; angles 106.78, 106.78, 48.75 degrees
Fractional coordinates of all 12 atoms:
Ac: 0.0799 0.6051 0.3423
Ac: 0.2314 0.7686 0.0000
Ac: 0.3949 0.9201 0.6577
Ac: 0.6051 0.0799 0.3423
Ac: 0.7686 0.2314 0.0000
Ac: 0.9201 0.3949 0.6577
Ni: 0.0000 0.0000 0.5000
Hg: 0.1800 0.1800 0.1800
Hg: 0.3329 0.3329 0.8324
Hg: 0.5000 0.5000 0.5000
Hg: 0.6671 0.6671 0.1676
Hg: 0.8200 0.8200 0.8200

Output
Calculated formation energy ... -0.409 eV/atom
Space group ... No. 12